Below is crystalline PaCr4Mo at its relaxed geometry, with properties calculated at the PBE level.

Cell lengths 4.997, 4.997, 4.997 Å; angles 60.00, 60.00, 60.00 degrees
Atoms (fractional coordinates):
Pa1 0.000 0.000 0.000
Cr1 0.125 0.625 0.625
Cr2 0.625 0.125 0.625
Cr3 0.625 0.625 0.125
Cr4 0.625 0.625 0.625
Mo1 0.250 0.250 0.250

Summary:
Its volume is 14.7 Å³ per atom. The value obtained for the calculated total energy is -57.30 eV per formula unit. Its space group is F-43m.

Below is crystalline Ce2SbBr2 at its relaxed geometry, with properties calculated at the PBE level.

Cell lengths 11.008, 11.008, 11.008 Å; angles 22.98, 22.98, 22.98 degrees
Atoms (fractional coordinates):
Ce1 0.109 0.109 0.109
Ce2 0.891 0.891 0.891
Sb1 0.500 0.500 0.500
Br1 0.278 0.278 0.278
Br2 0.722 0.722 0.722

Summary:
Its volume is 35.7 Å³ per atom. The value obtained for the calculated total energy is -26.46 eV per formula unit. The formation energy without anion corrections comes out at -32.842 kcal/mol of atoms. Its space group is R-3m.

Below is crystalline CrCuTc2 at its relaxed geometry, with properties calculated at the PBE level.

Cell lengths 5.406, 5.406, 5.406 Å; angles 103.06, 103.06, 123.23 degrees
Atoms (fractional coordinates):
Cr1 0.000 0.000 0.000
Cr2 0.750 0.250 0.500
Cu1 0.250 0.750 0.500
Cu2 0.500 0.500 0.000
Tc1 0.092 0.625 0.967
Tc2 0.375 0.342 0.467
Tc3 0.658 0.125 0.033
Tc4 0.875 0.908 0.533

Summary:
Its volume is 14.5 Å³ per atom. The excess energy over the best structure of this formula in the dataset comes out at 468 meV per atom. The value obtained for the calculated total energy is -31.80 eV per formula unit. Its space group is I-42d.

Below is crystalline CaAgW at its relaxed geometry, with properties calculated at the PBE level.

Cell lengths 2.969, 2.969, 7.753 Å; angles 90.00, 90.00, 120.00 degrees
Atoms (fractional coordinates):
Ca1 0.000 0.000 0.000
Ag1 0.333 0.667 0.651
W1 0.667 0.333 0.337

Summary:
Its volume is 19.7 Å³ per atom. The excess energy over the best structure of this formula in the dataset comes out at 127 meV per atom. The value obtained for the calculated total energy is -15.47 eV per formula unit. Its space group is P3m1.

Below is crystalline Cd3H3Rh at its relaxed geometry, with properties calculated at the PBE level.

Cell lengths 2.913, 7.113, 9.804 Å; angles 98.36, 95.43, 91.21 degrees
Atoms (fractional coordinates):
Cd1 0.030 0.306 0.104
Cd2 0.269 0.354 0.562
Cd3 0.400 0.946 0.724
Cd4 0.600 0.054 0.276
Cd5 0.731 0.646 0.438
Cd6 0.970 0.694 0.896
H1 0.062 0.807 0.121
H2 0.086 0.594 0.233
H3 0.177 0.114 0.426
H4 0.823 0.886 0.574
H5 0.914 0.406 0.767
H6 0.938 0.193 0.879
Rh1 0.435 0.328 0.847
Rh2 0.565 0.672 0.153

Summary:
Its volume is 14.3 Å³ per atom. The value obtained for the calculated total energy is -19.71 eV per formula unit. Its space group is P-1.

Below is crystalline LiAsCl3 at its relaxed geometry, with properties calculated at the PBE level.

Cell lengths 5.154, 5.154, 5.154 Å; angles 90.00, 90.00, 90.00 degrees
Atoms (fractional coordinates):
Li1 0.000 0.000 0.000
As1 0.500 0.500 0.500
Cl1 0.000 0.500 0.500
Cl2 0.500 0.000 0.500
Cl3 0.500 0.500 0.000

Summary:
Its volume is 27.4 Å³ per atom. The excess energy over the best structure of this formula in the dataset comes out at 0 meV per atom. The value obtained for the calculated total energy is -15.27 eV per formula unit. The formation energy without anion corrections comes out at -14.596 kcal/mol of atoms. Its space group is Pm-3m.

Below is crystalline Li2GaCuO4 at its relaxed geometry, with properties calculated at the PBE level.

Cell lengths 5.432, 2.832, 5.526 Å; angles 90.00, 116.74, 90.00 degrees
Atoms (fractional coordinates):
Li1 0.000 0.000 0.000
Li2 0.000 0.500 0.500
Ga1 0.500 0.000 0.500
Cu1 0.500 0.500 0.000
O1 0.240 0.500 0.292
O2 0.308 0.000 0.766
O3 0.692 0.000 0.234
O4 0.760 0.500 0.708

Summary:
Its volume is 9.5 Å³ per atom. The value obtained for the calculated total energy is -42.60 eV per formula unit. The formation energy without anion corrections comes out at -34.074 kcal/mol of atoms. Its space group is P2/m.

Below is crystalline ErTh2O at its relaxed geometry, with properties calculated at the PBE level.

Cell lengths 10.059, 10.059, 10.059 Å; angles 19.91, 19.91, 19.91 degrees
Atoms (fractional coordinates):
Er1 0.000 0.000 0.000
Th1 0.113 0.113 0.113
Th2 0.887 0.887 0.887
O1 0.500 0.500 0.500

Summary:
Its volume is 25.8 Å³ per atom. The value obtained for the calculated total energy is -28.08 eV per formula unit. The formation energy without anion corrections comes out at -21.437 kcal/mol of atoms. Its space group is R-3m.

Below is crystalline Sr3Li4Sn4 at its relaxed geometry, with properties calculated at the PBE level.

Cell lengths 9.286, 9.286, 9.286 Å; angles 149.47, 131.92, 58.03 degrees
Atoms (fractional coordinates):
Sr1 0.000 0.000 0.000
Sr2 0.367 0.867 0.500
Sr3 0.633 0.133 0.500
Li1 0.017 0.327 0.689
Li2 0.362 0.673 0.689
Li3 0.638 0.327 0.311
Li4 0.983 0.673 0.311
Sn1 0.211 0.211 0.000
Sn2 0.314 0.500 0.814
Sn3 0.686 0.500 0.186
Sn4 0.789 0.789 0.000

Summary:
Its volume is 27.3 Å³ per atom. The excess energy over the best structure of this formula in the dataset comes out at 0 meV per atom. The value obtained for the calculated total energy is -34.13 eV per formula unit. Its space group is Immm.

Below is crystalline GeRuNF2 at its relaxed geometry, with properties calculated at the PBE level.

Cell lengths 4.300, 4.300, 3.743 Å; angles 90.00, 90.00, 90.00 degrees
Atoms (fractional coordinates):
Ge1 0.000 0.000 0.000
Ru1 0.500 0.500 0.500
N1 0.500 0.500 0.000
F1 0.000 0.500 0.500
F2 0.500 0.000 0.500

Summary:
Its volume is 13.8 Å³ per atom. The excess energy over the best structure of this formula in the dataset comes out at 0 meV per atom. The value obtained for the calculated total energy is -27.43 eV per formula unit. The formation energy without anion corrections comes out at -6.793 kcal/mol of atoms. Its space group is P4/mmm.

Below is crystalline LaYMo at its relaxed geometry, with properties calculated at the PBE level.

Cell lengths 6.843, 6.836, 3.569 Å; angles 74.99, 74.76, 30.25 degrees
Atoms (fractional coordinates):
La1 0.000 0.000 0.000
Y1 0.729 0.729 0.271
Mo1 0.363 0.363 0.637

Summary:
Its volume is 27.0 Å³ per atom. The excess energy over the best structure of this formula in the dataset comes out at 0 meV per atom. The value obtained for the calculated total energy is -21.15 eV per formula unit. Its space group is Fmm2.

Below is crystalline LaMgGeF at its relaxed geometry, with properties calculated at the PBE level.

Cell lengths 4.219, 4.219, 9.145 Å; angles 90.00, 90.00, 90.00 degrees
Atoms (fractional coordinates):
La1 0.250 0.250 0.169
La2 0.750 0.750 0.831
Mg1 0.250 0.750 0.500
Mg2 0.750 0.250 0.500
Ge1 0.250 0.250 0.693
Ge2 0.750 0.750 0.307
F1 0.250 0.750 0.000
F2 0.750 0.250 0.000

Summary:
Its volume is 20.4 Å³ per atom. The value obtained for the calculated total energy is -20.16 eV per formula unit. The formation energy without anion corrections comes out at -41.192 kcal/mol of atoms. Its space group is P4/nmm.